The following is a PBE calculation of crystalline La2ErIn2Ag2 at its relaxed geometry, from Alexandria.

```
La2ErIn2Ag2
1.0
2.433 1.405 9.103
-2.433 1.405 9.103
0.000 -2.810 9.103
La Er In Ag
2 1 2 2
Cartesian
0.000 0.000 3.505 La
0.000 0.000 23.804 La
0.000 0.000 0.000 Er
0.000 0.000 7.303 In
0.000 0.000 20.005 In
0.000 0.000 10.628 Ag
0.000 0.000 16.680 Ag
```

## Properties
DFT total energy in eV per atom: -3.9767
D(E_F) in states/eV/atom: 0.789
Formation energy in eV per atom: -0.3199
SG: R-3m, No. 166



The following is a PBE calculation of crystalline LaEr2In2Ag2 at its relaxed geometry, from Alexandria.

```
LaEr2In2Ag2
1.0
2.449 1.414 8.912
-2.449 1.414 8.912
0.000 -2.828 8.912
La Er In Ag
1 2 2 2
Cartesian
0.000 0.000 0.000 La
0.000 0.000 3.493 Er
0.000 0.000 23.245 Er
0.000 0.000 6.863 In
0.000 0.000 19.874 In
0.000 0.000 11.300 Ag
0.000 0.000 15.437 Ag
```

## Properties
DFT total energy in eV per atom: -3.9146
D(E_F) in states/eV/atom: 0.710
Formation energy in eV per atom: -0.3100
SG: R-3m, No. 166



The following is a PBE calculation of crystalline LiErInAg at its relaxed geometry, from Alexandria.

```
LiErInAg
1.0
6.861 0.000 0.000
0.000 6.861 0.000
0.000 0.000 6.861
Li Er In Ag
4 4 4 4
Cartesian
0.000 0.000 0.000 Li
0.000 3.430 3.430 Li
3.430 0.000 3.430 Li
3.430 3.430 0.000 Li
1.715 1.715 5.145 Er
1.715 5.145 1.715 Er
5.145 1.715 1.715 Er
5.145 5.145 5.145 Er
1.715 1.715 1.715 In
1.715 5.145 5.145 In
5.145 1.715 5.145 In
5.145 5.145 1.715 In
0.000 0.000 3.430 Ag
0.000 3.430 0.000 Ag
3.430 0.000 0.000 Ag
3.430 3.430 3.430 Ag
```

## Properties
DFT total energy in eV per atom: -3.3879
D(E_F) in states/eV/atom: 0.230
Formation energy in eV per atom: -0.3713
SG: F-43m, No. 216



The following is a PBE calculation of crystalline ErLuInAg at its relaxed geometry, from Alexandria.

```
ErLuInAg
1.0
7.318 0.000 0.000
0.000 7.318 0.000
0.000 0.000 7.318
Er Lu In Ag
4 4 4 4
Cartesian
0.000 0.000 0.000 Er
0.000 3.659 3.659 Er
3.659 0.000 3.659 Er
3.659 3.659 0.000 Er
0.000 0.000 3.659 Lu
0.000 3.659 0.000 Lu
3.659 0.000 0.000 Lu
3.659 3.659 3.659 Lu
1.829 1.829 5.488 In
1.829 5.488 1.829 In
5.488 1.829 1.829 In
5.488 5.488 5.488 In
1.829 1.829 1.829 Ag
1.829 5.488 5.488 Ag
5.488 1.829 5.488 Ag
5.488 5.488 1.829 Ag
```

## Properties
DFT total energy in eV per atom: -4.0597
D(E_F) in states/eV/atom: 0.609
Formation energy in eV per atom: -0.3913
SG: F-43m, No. 216



The following is a PBE calculation of crystalline ErMgInAg at its relaxed geometry, from Alexandria.

```
ErMgInAg
1.0
7.102 0.000 0.000
0.000 7.102 0.000
0.000 0.000 7.102
Er Mg In Ag
4 4 4 4
Cartesian
0.000 0.000 0.000 Er
0.000 3.551 3.551 Er
3.551 0.000 3.551 Er
3.551 3.551 0.000 Er
0.000 0.000 3.551 Mg
0.000 3.551 0.000 Mg
3.551 0.000 0.000 Mg
3.551 3.551 3.551 Mg
1.775 1.775 5.326 In
1.775 5.326 1.775 In
5.326 1.775 1.775 In
5.326 5.326 5.326 In
1.775 1.775 1.775 Ag
1.775 5.326 5.326 Ag
5.326 1.775 5.326 Ag
5.326 5.326 1.775 Ag
```

## Properties
DFT total energy in eV per atom: -3.2727
D(E_F) in states/eV/atom: 0.587
Formation energy in eV per atom: -0.3360
SG: F-43m, No. 216



The following is a PBE calculation of crystalline Nd2ErIn2Ag2 at its relaxed geometry, from Alexandria.

```
Nd2ErIn2Ag2
1.0
2.428 1.402 9.115
-2.428 1.402 9.115
0.000 -2.804 9.115
Nd Er In Ag
2 1 2 2
Cartesian
0.000 0.000 3.428 Nd
0.000 0.000 23.915 Nd
0.000 0.000 0.000 Er
0.000 0.000 7.244 In
0.000 0.000 20.100 In
0.000 0.000 10.644 Ag
0.000 0.000 16.699 Ag
```

## Properties
DFT total energy in eV per atom: -3.9023
D(E_F) in states/eV/atom: 0.822
Formation energy in eV per atom: -0.2912
SG: R-3m, No. 166



The following is a PBE calculation of crystalline ErIn4AgO8 at its relaxed geometry, from Alexandria.

```
ErIn4AgO8
1.0
3.299 1.905 5.465
-3.299 1.905 5.465
0.000 -3.810 5.465
Er In Ag O
1 4 1 8
Cartesian
0.000 0.000 0.000 Er
-1.677 -0.968 13.583 In
0.000 0.000 10.147 In
1.677 -0.968 13.583 In
0.000 1.937 13.583 In
0.000 0.000 6.007 Ag
-1.754 -1.013 9.435 O
0.000 0.000 3.762 O
0.000 -2.125 6.885 O
-1.840 1.062 6.885 O
1.754 -1.013 9.435 O
0.000 2.026 9.435 O
0.000 0.000 12.373 O
1.840 1.062 6.885 O
```

## Properties
DFT total energy in eV per atom: -5.8147
E_form (uncorrected) in eV per formula unit: -23.372
D(E_F) in states/eV/atom: 0.762
SG: R3m, No. 160



The following is a PBE calculation of crystalline ErInAgPb at its relaxed geometry, from Alexandria.

```
ErInAgPb
1.0
4.445 0.000 0.000
0.000 4.542 0.000
0.000 0.000 4.787
Er In Ag Pb
1 1 1 1
Cartesian
0.000 0.000 0.000 Er
2.223 0.000 2.394 In
0.000 2.271 2.394 Ag
2.223 2.271 0.000 Pb
```

## Properties
DFT total energy in eV per atom: -3.7572
D(E_F) in states/eV/atom: 0.408
Formation energy in eV per atom: -0.2920
SG: Pmmm, No. 47
Energy above the most stable polymorph in this dataset in meV per atom: 0.0



The following is a PBE calculation of crystalline ErInAgPb at its relaxed geometry, from Alexandria.

```
ErInAgPb
1.0
7.344 0.000 0.000
0.000 7.344 0.000
0.000 0.000 7.344
Er In Ag Pb
4 4 4 4
Cartesian
0.000 0.000 0.000 Er
0.000 3.672 3.672 Er
3.672 0.000 3.672 Er
3.672 3.672 0.000 Er
1.836 1.836 5.508 In
1.836 5.508 1.836 In
5.508 1.836 1.836 In
5.508 5.508 5.508 In
0.000 0.000 3.672 Ag
0.000 3.672 0.000 Ag
3.672 0.000 0.000 Ag
3.672 3.672 3.672 Ag
1.836 1.836 1.836 Pb
1.836 5.508 5.508 Pb
5.508 1.836 5.508 Pb
5.508 5.508 1.836 Pb
```

## Properties
DFT total energy in eV per atom: -3.5974
D(E_F) in states/eV/atom: 0.532
Formation energy in eV per atom: -0.1322
SG: F-43m, No. 216
Energy above the most stable polymorph in this dataset in meV per atom: 159.8



The following is a PBE calculation of crystalline ErInAgPd at its relaxed geometry, from Alexandria.

```
ErInAgPd
1.0
6.862 0.000 0.000
0.000 6.862 0.000
0.000 0.000 6.862
Er In Ag Pd
4 4 4 4
Cartesian
0.000 0.000 0.000 Er
0.000 3.431 3.431 Er
3.431 0.000 3.431 Er
3.431 3.431 0.000 Er
0.000 0.000 3.431 In
0.000 3.431 0.000 In
3.431 0.000 0.000 In
3.431 3.431 3.431 In
1.716 1.716 5.147 Ag
1.716 5.147 1.716 Ag
5.147 1.716 1.716 Ag
5.147 5.147 5.147 Ag
1.716 1.716 1.716 Pd
1.716 5.147 5.147 Pd
5.147 1.716 5.147 Pd
5.147 5.147 1.716 Pd
```

## Properties
DFT total energy in eV per atom: -4.4056
D(E_F) in states/eV/atom: 0.742
Formation energy in eV per atom: -0.5693
SG: F-43m, No. 216



The following is a PBE calculation of crystalline Pm2ErIn2Ag2 at its relaxed geometry, from Alexandria.

```
Pm2ErIn2Ag2
1.0
2.424 1.400 9.068
-2.424 1.400 9.068
0.000 -2.799 9.068
Pm Er In Ag
2 1 2 2
Cartesian
0.000 0.000 3.410 Pm
0.000 0.000 23.795 Pm
0.000 0.000 0.000 Er
0.000 0.000 7.183 In
0.000 0.000 20.022 In
0.000 0.000 10.611 Ag
0.000 0.000 16.594 Ag
```

## Properties
DFT total energy in eV per atom: -3.8942
D(E_F) in states/eV/atom: 0.808
Formation energy in eV per atom: -0.2880
SG: R-3m, No. 166



The following is a PBE calculation of crystalline Pr2ErIn2Ag2 at its relaxed geometry, from Alexandria.

```
Pr2ErIn2Ag2
1.0
2.431 1.404 9.178
-2.431 1.404 9.178
0.000 -2.808 9.178
Pr Er In Ag
2 1 2 2
Cartesian
0.000 0.000 3.451 Pr
0.000 0.000 24.081 Pr
0.000 0.000 0.000 Er
0.000 0.000 7.323 In
0.000 0.000 20.209 In
0.000 0.000 10.694 Ag
0.000 0.000 16.839 Ag
```

## Properties
DFT total energy in eV per atom: -3.9098
D(E_F) in states/eV/atom: 0.866
Formation energy in eV per atom: -0.2953
SG: R-3m, No. 166



The following is a PBE calculation of crystalline PrEr2In2Ag2 at its relaxed geometry, from Alexandria.

```
PrEr2In2Ag2
1.0
2.444 1.411 8.892
-2.444 1.411 8.892
0.000 -2.822 8.892
Pr Er In Ag
1 2 2 2
Cartesian
0.000 0.000 0.000 Pr
0.000 0.000 3.427 Er
0.000 0.000 23.249 Er
0.000 0.000 6.853 In
0.000 0.000 19.824 In
0.000 0.000 11.000 Ag
0.000 0.000 15.676 Ag
```

## Properties
DFT total energy in eV per atom: -3.8728
D(E_F) in states/eV/atom: 0.710
Formation energy in eV per atom: -0.2893
SG: R-3m, No. 166